Crystalline CeInS2O at its relaxed geometry, computed with PBE-GGA.

Cell lengths 3.8858, 3.8858, 13.2641 Å; angles 90.00, 90.00, 90.00 degrees
With the nearest neighbours (Å) after each atom.
Positions (direct):
1 Ce 0.5000 0.0000 0.5973  4 O 2.33
2 Ce 0.0000 0.5000 0.4027  4 O 2.33
3 In 0.5000 0.0000 0.1112  6 S 2.57-2.79
4 In 0.0000 0.5000 0.8888  6 S 2.57-2.79
5 S 0.0000 0.5000 0.6954  1 In 2.57
6 S 0.0000 0.5000 0.0995  5 In 2.75-2.79
7 S 0.5000 0.0000 0.9005  5 In 2.75-2.79
8 S 0.5000 0.0000 0.3046  1 In 2.57
9 O 0.0000 0.0000 0.5000  4 Ce 2.33
10 O 0.5000 0.5000 0.5000  4 Ce 2.33

Properties
As for the formation energy (no corrections): -9.07 eV/f.u. Its total energy is -6.19 eV per atom.